Entry 1:
GGA-PBE CeThAsS, relaxed; size of the total moment = 0.79 μB/f.u.; E_form (uncorrected) = -1.683 eV per atom; ρ = 7.855 g cm⁻³; electronic total energy = -7.216 eV/atom; space-group type = P4/mmm (123)
1.0
4.162 0.000 0.000
0.000 4.162 0.000
0.000 0.000 5.847
Ce Th As S
1 1 1 1
Direct
0.000 0.000 0.000
0.500 0.500 0.500
0.000 0.000 0.500
0.500 0.500 0.000

=====

Entry 2:
GGA-PBE AcLaDyAu, relaxed; size of the total moment = 2.07 μB/f.u.; ρ = 10.003 g cm⁻³; formation enthalpy at 0 K = -0.038 eV per atom; electronic total energy = -4.267 eV/atom; space-group type = F-43m (216)
1.0
7.839 0.000 0.000
0.000 7.839 0.000
0.000 0.000 7.839
Ac La Dy Au
4 4 4 4
Direct
0.000 0.000 0.000
0.000 0.500 0.500
0.500 0.000 0.500
0.500 0.500 0.000
0.250 0.250 0.250
0.250 0.750 0.750
0.750 0.250 0.750
0.750 0.750 0.250
0.250 0.250 0.750
0.250 0.750 0.250
0.750 0.250 0.250
0.750 0.750 0.750
0.000 0.000 0.500
0.000 0.500 0.000
0.500 0.000 0.000
0.500 0.500 0.500

=====

Entry 3:
GGA-PBE LaCuSe2, relaxed; size of the total moment = 0.00 μB/f.u.; E_form (uncorrected) = -0.874 eV per atom; ρ = 6.568 g cm⁻³; electronic total energy = -4.872 eV/atom; space-group type = I-4m2 (119)
1.0
4.127 0.000 0.000
0.000 4.127 0.000
0.000 0.000 10.698
La Cu Se
2 2 4
Direct
0.000 0.000 0.000
0.500 0.500 0.500
0.000 0.500 0.250
0.500 0.000 0.750
0.000 0.000 0.500
0.000 0.500 0.750
0.500 0.000 0.250
0.500 0.500 0.000

=====

Entry 4:
GGA-PBE Ti7NbPb2, relaxed; size of the total moment = 3.21 μB/f.u.; ρ = 6.460 g cm⁻³; formation enthalpy at 0 K = 0.763 eV per atom; electronic total energy = -6.512 eV/atom; space-group type = Fm-3m (225)
1.0
0.000 4.766 4.766
4.766 0.000 4.766
4.766 4.766 0.000
Ti Nb Pb
7 1 2
Direct
0.000 0.000 0.000
0.246 0.246 0.754
0.246 0.754 0.246
0.246 0.754 0.754
0.754 0.246 0.246
0.754 0.246 0.754
0.754 0.754 0.246
0.500 0.500 0.500
0.250 0.250 0.250
0.750 0.750 0.750